No. 1
Density functional theory data (PBE) for a relaxed structure of Pm3Pd3Pb2.

Cell: 11.089 11.089 11.089 Å, 160.77 153.64 32.83°
Fractional coordinates of all 8 atoms:
Pm1 0.000 0.000 0.000
Pm2 0.380 0.880 0.500
Pm3 0.620 0.120 0.500
Pd1 0.110 0.610 0.500
Pd2 0.500 0.500 0.000
Pd3 0.890 0.390 0.500
Pb1 0.227 0.227 0.000
Pb2 0.773 0.773 0.000

## Properties
space-group type = Immm (71)



No. 2
Density functional theory data (PBE) for a relaxed structure of Pm4Pd2Pb5.

Cell: 8.162 3.822 9.792 Å, 90.00 92.75 90.00°
Fractional coordinates of all 11 atoms:
Pm1 0.204 0.000 0.350
Pm2 0.215 0.000 0.921
Pm3 0.785 0.000 0.079
Pm4 0.796 0.000 0.650
Pd1 0.082 0.500 0.130
Pd2 0.918 0.500 0.870
Pb1 0.137 0.500 0.633
Pb2 0.454 0.500 0.162
Pb3 0.500 0.500 0.500
Pb4 0.546 0.500 0.838
Pb5 0.863 0.500 0.367

## Properties
space-group type = P2/m (10)



No. 3
Density functional theory data (PBE) for a relaxed structure of PmPd5Pb2.

Cell: 7.541 7.541 7.541 Å, 146.65 134.94 57.20°
Fractional coordinates of all 8 atoms:
Pm1 0.000 0.000 0.000
Pd1 0.151 0.392 0.759
Pd2 0.367 0.608 0.759
Pd3 0.500 0.000 0.500
Pd4 0.633 0.392 0.241
Pd5 0.849 0.608 0.241
Pb1 0.285 0.785 0.500
Pb2 0.715 0.215 0.500

## Properties
space-group type = Immm (71)



Calculated values (g cm⁻³) of mass density for the records, taken in order: 9.74, 9.95, 10.95.
Calculated values (eV/atom) of formation energy for the records, taken in order: -0.577, -0.571, -0.474.